# AcAlAg4

Crystalline AcAlAg4 at its relaxed geometry (PBE, Alexandria via LeMat-Bulk).

```
AcAlAg4
1.0
0.000 4.042 4.042
4.042 0.000 4.042
4.042 4.042 0.000
Ac Al Ag
1 1 4
direct
0.000 0.000 0.000 Ac
0.750 0.750 0.750 Al
0.376 0.376 0.376 Ag
0.376 0.376 0.872 Ag
0.376 0.872 0.376 Ag
0.872 0.376 0.376 Ag
```

Properties
* ΔE to the lowest computed polymorph: 0.00 eV per formula unit
* electronic total energy: -0.24671 Ry/atom